RbInSbI2: relaxed, PBE.

As for the symmetry: No. 123. For the total energy, the calculation gives -2.06 eV/atom. Its magnetization is 0.6113 μB per atom. As for the energy above the most stable polymorph in this dataset: 520.6 meV/atom. The theoretical density is 3.0 g/cm3.

Unit cell a=6.858 b=6.858 c=6.791 alpha=90.00 beta=90.00 gamma=90.00
Last column: magnetic moment on the atom in μB.
Fractional positions:
I1 0.000 0.500 0.000  0.09
I2 0.500 0.000 0.000  0.09
Sb1 0.000 0.000 0.500  1.01
Rb1 0.000 0.000 0.000  0.04
In1 0.500 0.500 0.500  0.01